## MgFe2BSe (GGA-PBE)

Data for a relaxed structure of MgFe2BSe.

The structure belongs to space group P4/mmm (No. 123); the cell edges are 4.468, 4.468 and 3.968 Å and the angles 90.00°, 90.00° and 90.00°. The inequivalent atoms are Mg at (0.000, 0.000, 0.000), Fe at (0.000, 0.500, 0.000), B at (0.000, 0.000, 0.500) and Se at (0.500, 0.500, 0.500).

The uncorrected formation energy comes out at 1.998 eV/atom. The value obtained for the spin magnetization is 0.06 μB/cell. The calculated density comes out at 4732 kg/m³.